Density functional theory data (PBE) for a relaxed structure of Al2RhSe.

## Properties
* theoretical density: 5.85 g/cm3
* magnetization: 0.00 μB per cell
* calculated volume: 67 Å³ per cell
* uncorrected formation energy: -0.4435 eV per atom
* uncorrected energy: -5.02 eV/atom

a b c (Å): 7.382 7.382 7.382
angles (deg): 25.76 25.76 25.76
Sites, in units of the cell vectors:
Al 0.503 0.503 0.503
Se 0.750 0.750 0.750
Rh 0.250 0.250 0.250
Al 0.997 0.997 0.997